Entry 1:
The following is a GGA-PBEsol calculation of a relaxed structure of AsP, from Alexandria.

Calculated values
SG: R-3m
Energy of formation from the pure elements: 0.0413 eV per atom
Offset from the most stable computed form: 0.000 kcal/mol of atoms

a = 3.6016 Å, b = 3.6016 Å, c = 6.8567 Å
α = 74.77°, β = 74.77°, γ = 60.00°
Fractional coordinates of all 4 atoms:
As: 0.8924 0.8924 0.3229
As: 0.1076 0.1076 0.6771
P: 0.6225 0.6225 0.1326
P: 0.3775 0.3775 0.8674



Entry 2:
The following is a GGA-PBEsol calculation of a relaxed structure of AsP, from Alexandria.

Calculated values
SG: C2/m
Energy of formation from the pure elements: 0.0634 eV per atom
Offset from the most stable computed form: 0.510 kcal/mol of atoms

a = 3.5602 Å, b = 4.1417 Å, c = 5.5985 Å
α = 90.28°, β = 108.54°, γ = 90.00°
Fractional coordinates of all 4 atoms:
As: 0.6164 0.5742 0.2328
As: 0.3836 0.4258 0.7672
P: 0.8976 0.0440 0.7952
P: 0.1024 0.9560 0.2048



Entry 3:
The following is a GGA-PBEsol calculation of a relaxed structure of AsP, from Alexandria.

Calculated values
SG: Cmmm
Energy of formation from the pure elements: 0.1128 eV per atom
Offset from the most stable computed form: 1.649 kcal/mol of atoms

a = 3.6159 Å, b = 5.1443 Å, c = 5.7572 Å
α = 90.00°, β = 108.30°, γ = 90.00°
Fractional coordinates of all 6 atoms:
As: 0.0230 0.0001 0.0460
As: 0.3611 0.5005 0.7223
As: 0.6992 0.0002 0.3983
P: 0.3611 0.9998 0.7222
P: 0.0336 0.4997 0.0673
P: 0.6886 0.4997 0.3772



Entry 4:
The following is a GGA-PBEsol calculation of a relaxed structure of AsP, from Alexandria.

Calculated values
SG: P2_13
Energy of formation from the pure elements: 0.1045 eV per atom
Offset from the most stable computed form: 1.459 kcal/mol of atoms

a = 5.4682 Å, b = 5.4682 Å, c = 5.4682 Å
α = 90.00°, β = 90.00°, γ = 90.00°
Fractional coordinates of all 8 atoms:
P: 0.0361 0.4639 0.5361
P: 0.5361 0.0361 0.4639
P: 0.9639 0.9639 0.9639
P: 0.4639 0.5361 0.0361
As: 0.4663 0.4663 0.4663
As: 0.0337 0.5337 0.9663
As: 0.9663 0.0337 0.5337
As: 0.5337 0.9663 0.0337



Entry 5:
The following is a GGA-PBEsol calculation of a relaxed structure of AsP, from Alexandria.

Calculated values
SG: Imma
Energy of formation from the pure elements: 0.3718 eV per atom
Offset from the most stable computed form: 7.622 kcal/mol of atoms

a = 3.2510 Å, b = 5.4776 Å, c = 5.8200 Å
α = 118.07°, β = 106.22°, γ = 90.00°
Fractional coordinates of all 4 atoms:
As: 0.4886 0.7386 0.9772
As: 0.5114 0.2614 0.0228
P: 0.8360 0.0860 0.6719
P: 0.1640 0.9140 0.3281



Entry 6:
The following is a GGA-PBEsol calculation of a relaxed structure of AsP3, from Alexandria.

Calculated values
SG: Pm-3m
Energy of formation from the pure elements: 0.7151 eV per atom

a = 3.9450 Å, b = 3.9450 Å, c = 3.9450 Å
α = 90.00°, β = 90.00°, γ = 90.00°
Fractional coordinates of all 4 atoms:
P: 0.0000 0.5000 0.5000
P: 0.5000 0.0000 0.5000
P: 0.5000 0.5000 0.0000
As: 0.0000 0.0000 0.0000



Entry 7:
The following is a GGA-PBEsol calculation of a relaxed structure of As5P, from Alexandria.

Calculated values
SG: F-43m
Energy of formation from the pure elements: 0.7291 eV per atom

a = 5.4133 Å, b = 5.4133 Å, c = 5.4133 Å
α = 60.00°, β = 60.00°, γ = 60.00°
Fractional coordinates of all 6 atoms:
As: 0.1229 0.6257 0.6257
As: 0.6257 0.1229 0.6257
As: 0.6257 0.6257 0.6257
As: 0.2500 0.2500 0.2500
As: 0.6257 0.6257 0.1229
P: 0.0000 0.0000 0.0000



Entry 8:
The following is a GGA-PBEsol calculation of a relaxed structure of AsP, from Alexandria.

Calculated values
SG: P-3m1
Energy of formation from the pure elements: 0.1126 eV per atom
Offset from the most stable computed form: 1.645 kcal/mol of atoms

a = 3.4238 Å, b = 3.4238 Å, c = 8.1528 Å
α = 90.00°, β = 90.00°, γ = 120.00°
Fractional coordinates of all 4 atoms:
P: 0.6667 0.3333 0.3398
P: 0.3333 0.6667 0.6602
As: 0.3333 0.6667 0.1771
As: 0.6667 0.3333 0.8229



Entry 9:
The following is a GGA-PBEsol calculation of a relaxed structure of As2PPb, from Alexandria.

Calculated values
SG: P4/mmm
Energy of formation from the pure elements: 0.4805 eV per atom
Offset from the most stable computed form: 8.031 kcal/mol of atoms

a = 3.5206 Å, b = 4.7974 Å, c = 4.7974 Å
α = 90.00°, β = 90.00°, γ = 90.00°
Fractional coordinates of all 4 atoms:
Pb: 0.5000 0.0000 0.0000
P: 0.5000 0.5000 0.5000
As: 0.0000 0.5000 0.0000
As: 0.0000 0.0000 0.5000



Entry 10:
The following is a GGA-PBEsol calculation of a relaxed structure of As2PPb, from Alexandria.

Calculated values
SG: R3m
Energy of formation from the pure elements: 0.1446 eV per atom
Offset from the most stable computed form: 0.284 kcal/mol of atoms

a = 3.9340 Å, b = 3.9340 Å, c = 6.7609 Å
α = 73.09°, β = 73.09°, γ = 60.00°
Fractional coordinates of all 4 atoms:
P: 0.4897 0.4897 0.5310
As: 0.0125 0.0125 0.9626
As: 0.7527 0.7527 0.7419
Pb: 0.2452 0.2452 0.2645



Entry 11:
The following is a GGA-PBEsol calculation of a relaxed structure of As2PPb, from Alexandria.

Calculated values
SG: P2/m
Energy of formation from the pure elements: 0.1322 eV per atom
Offset from the most stable computed form: 0.000 kcal/mol of atoms

a = 3.8480 Å, b = 4.7443 Å, c = 5.0690 Å
α = 108.09°, β = 90.00°, γ = 90.00°
Fractional coordinates of all 4 atoms:
As: 0.0000 0.2525 0.3191
As: 0.0000 0.7475 0.6809
P: 0.5000 0.0000 0.5000
Pb: 0.5000 0.5000 0.0000



Entry 12:
The following is a GGA-PBEsol calculation of a relaxed structure of AsPPbS2, from Alexandria.

Calculated values
SG: P4/mmm
Energy relative to the elements, uncorrected: 292 meV per atom

a = 4.6785 Å, b = 4.7896 Å, c = 4.7896 Å
α = 90.00°, β = 90.00°, γ = 90.00°
Fractional coordinates of all 5 atoms:
P: 0.5000 0.0000 0.0000
S: 0.0000 0.5000 0.0000
S: 0.0000 0.0000 0.5000
As: 0.0000 0.0000 0.0000
Pb: 0.5000 0.5000 0.5000



Total energy in eV per cell, matching the order above: -21.63, -21.54, -32.02, -42.75, -20.31, -19.62, -26.95, -21.35, -18.08, -19.42, -19.47, -22.20
Calculated density in Mg/m³, matching the order above: 4.79, 4.49, 5.19, 4.30, 4.05, 4.54, 6.00, 4.25, 7.95, 7.55, 7.32, 5.84